Entry 1:
4
Lattice="3.746 -2.164 0.000 3.746 2.164 0.000 -2.507 0.000 7.713" Properties=species:S:1:pos:R:3 comment="PBE Sr2NiAg, relaxed" final_energy_ev_per_atom=-2.946 e_form_mev_per_atom=53 density_g_cm3=4.54 pbc="T T T"
Sr 1.248 0.000 1.675
Sr 3.738 0.000 6.038
Ni 3.746 0.000 0.000
Ag -1.254 0.000 3.856

=====

Entry 2:
9
Lattice="0.000 3.418 3.418 3.418 0.000 3.418 3.418 3.418 0.000" Properties=species:S:1:pos:R:3 comment="PBE Ca2BeH6, relaxed" de_polymorph_ev_per_atom=0.0000 final_energy_ev_per_atom=-3.509 density_g_cm3=1.98 pbc="T T T"
Ca 1.709 1.709 1.709
Ca 5.127 5.127 5.127
Be 0.000 0.000 0.000
H 3.418 3.418 1.610
H 3.418 1.610 3.418
H 5.225 3.418 3.418
H 1.610 3.418 3.418
H 3.418 5.225 3.418
H 3.418 3.418 5.225

=====

Entry 3:
4
Lattice="2.248 1.298 4.973 -2.248 1.298 4.973 0.000 -2.596 4.973" Properties=species:S:1:pos:R:3 comment="PBE TmAl2Cd, relaxed" de_polymorph_ev_per_atom=0.1873 final_energy_ev_per_atom=-3.343 e_form_mev_per_atom=-126 density_g_cm3=6.39 pbc="T T T"
Tm 0.000 0.000 0.000
Al 0.000 0.000 3.300
Al 0.000 0.000 11.620
Cd 0.000 0.000 7.460

=====

Entry 4:
3
Lattice="-1.964 1.964 6.731 1.964 -1.964 6.731 1.964 1.964 -6.731" Properties=species:S:1:pos:R:3 comment="PBE AcEuAg, relaxed" de_polymorph_ev_per_atom=0.0000 final_energy_ev_per_atom=-5.903 e_form_mev_per_atom=-158 density_g_cm3=7.78 pbc="T T T"
Ac 0.000 0.000 0.000
Eu 0.000 0.000 9.718
Ag 0.000 0.000 4.816